1.
# YBe2Te PBE relaxed
# VASP energy = -65.5 eV for the cell shown
# crystal system = tetragonal
# formation energy without anion corrections = 0.169 eV/atom
# theoretical density = 4.794 Mg/m³
# excess energy over the best structure of this formula in the dataset = 207 meV per atom
data_YBe2Te
_cell_length_a 7.421
_cell_length_b 7.421
_cell_length_c 5.900
_cell_angle_alpha 90.00
_cell_angle_beta 90.00
_cell_angle_gamma 90.00
_symmetry_space_group_name_H-M 'I -4 2 d'
_symmetry_Int_Tables_number 122
_symmetry_space_group_name_Hall 'I -4 2bw'
loop_
_atom_site_label
_atom_site_type_symbol
_atom_site_fract_x
_atom_site_fract_y
_atom_site_fract_z
Y1 Y 0.000 0.000 0.000
Be1 Be 0.207 0.250 0.625
Te1 Te 0.000 0.000 0.500

2.
# YBeTe2 PBE relaxed
# VASP energy = -55.7 eV for the cell shown
# crystal system = trigonal
# formation energy without anion corrections = -0.527 eV/atom
# theoretical density = 5.966 Mg/m³
# excess energy over the best structure of this formula in the dataset = 258 meV per atom
data_YBeTe2
_cell_length_a 3.9563
_cell_length_b 3.9563
_cell_length_c 21.7555
_cell_angle_alpha 90.00
_cell_angle_beta 90.00
_cell_angle_gamma 120.00
_symmetry_space_group_name_H-M 'R -3 m'
_symmetry_Int_Tables_number 166
_symmetry_space_group_name_Hall '-R 3 2"'
loop_
_atom_site_label
_atom_site_type_symbol
_atom_site_fract_x
_atom_site_fract_y
_atom_site_fract_z
Y1 Y 0.0000 0.0000 0.0000
Be1 Be 0.0000 0.0000 0.5000
Te1 Te 0.0000 0.0000 0.2361

3.
# YBeTe3 PBE relaxed
# VASP energy = -17.5 eV for the cell shown
# crystal system = cubic
# formation energy without anion corrections = 0.415 eV/atom
# theoretical density = 3.977 Mg/m³
# excess energy over the best structure of this formula in the dataset = 633 meV per atom
data_YBeTe3
_cell_length_a 5.855
_cell_length_b 5.855
_cell_length_c 5.855
_cell_angle_alpha 90.00
_cell_angle_beta 90.00
_cell_angle_gamma 90.00
_symmetry_space_group_name_H-M 'P m -3 m'
_symmetry_Int_Tables_number 221
_symmetry_space_group_name_Hall '-P 4 2 3'
loop_
_atom_site_label
_atom_site_type_symbol
_atom_site_fract_x
_atom_site_fract_y
_atom_site_fract_z
Y1 Y 0.000 0.000 0.000
Be1 Be 0.500 0.500 0.500
Te1 Te 0.000 0.000 0.500

Q: Look up the VASP energy of the first one.
A: -65.5 eV for the cell shown

What did the second record say?
# YBeTe2 PBE relaxed
# VASP energy = -55.7 eV for the cell shown
# crystal system = trigonal
# formation energy without anion corrections = -0.527 eV/atom
# theoretical density = 5.966 Mg/m³
# excess energy over the best structure of this formula in the dataset = 258 meV per atom
data_YBeTe2
_cell_length_a 3.9563
_cell_length_b 3.9563
_cell_length_c 21.7555
_cell_angle_alpha 90.00
_cell_angle_beta 90.00
_cell_angle_gamma 120.00
_symmetry_space_group_name_H-M 'R -3 m'
_symmetry_Int_Tables_number 166
_symmetry_space_group_name_Hall '-R 3 2"'
loop_
_atom_site_label
_atom_site_type_symbol
_atom_site_fract_x
_atom_site_fract_y
_atom_site_fract_z
Y1 Y 0.0000 0.0000 0.0000
Be1 Be 0.0000 0.0000 0.5000
Te1 Te 0.0000 0.0000 0.2361

Q: Look up the theoretical density of the second one.
A: 5.966 Mg/m³

Q: Look up the VASP energy of the first one.
A: -65.5 eV for the cell shown